[1]
Cs5Rb5Tl after structural relaxation. Source: Alexandria, functional PBE-GGA.

a = 7.7474 Å, b = 12.0689 Å, c = 12.8137 Å
α = 75.23°, β = 72.40°, γ = 71.28°
Positions (direct):
Cs (0.1630, 0.6581, 0.0160)
Cs (0.1445, 0.0420, 0.6690)
Cs (0.5000, 0.0000, 0.0000)
Cs (0.8555, 0.9580, 0.3310)
Cs (0.8370, 0.3419, 0.9840)
Rb (0.2449, 0.2530, 0.2571)
Rb (0.4572, 0.3809, 0.7048)
Rb (0.0000, 0.5000, 0.5000)
Rb (0.5428, 0.6191, 0.2952)
Rb (0.7551, 0.7470, 0.7429)
Tl (0.0000, 0.0000, 0.0000)

Results
Space group: No. 12
Formation energy in meV/atom: 44
Size of the total moment in μB/atom: 0.00

***

[2]
KNb3Ge after structural relaxation. Source: Alexandria, functional PBE-GGA.

a = 4.9782 Å, b = 4.9782 Å, c = 4.9782 Å
α = 90.00°, β = 90.00°, γ = 90.00°
Positions (direct):
K (0.5000, 0.5000, 0.5000)
Nb (0.0000, 0.5000, 0.0000)
Nb (0.0000, 0.0000, 0.5000)
Nb (0.5000, 0.0000, 0.0000)
Ge (0.0000, 0.0000, 0.0000)

Results
Space group: No. 221
Formation energy in meV/atom: 1241
Size of the total moment in μB/atom: 0.00

***

[3]
Tl2BiO4 after structural relaxation. Source: Alexandria, functional PBE-GGA.

a = 3.4312 Å, b = 5.9936 Å, c = 11.1246 Å
α = 90.00°, β = 90.00°, γ = 106.63°
Positions (direct):
Tl (0.1305, 0.2609, 0.4307)
Tl (0.8695, 0.7391, 0.9307)
Tl (0.1305, 0.2609, 0.0693)
Tl (0.8695, 0.7391, 0.5693)
Bi (0.6160, 0.2319, 0.7500)
Bi (0.3840, 0.7681, 0.2500)
O (0.7788, 0.5576, 0.1197)
O (0.7788, 0.5576, 0.3803)
O (0.2212, 0.4424, 0.8803)
O (0.2212, 0.4424, 0.6197)
O (0.9735, 0.9469, 0.7500)
O (0.0265, 0.0531, 0.2500)
O (0.5000, 0.0000, 0.0000)
O (0.5000, 0.0000, 0.5000)

Results
Space group: No. 63
Raw formation energy in kcal/mol of atoms: -16.42
Size of the total moment in μB/atom: 0.00